Crystalline Rh2WBr at its relaxed geometry, computed with PBE.

Lattice parameters (Å, degrees): 9.273 9.273 9.273 18.03 18.03 18.03
Fractional positions:
1 W 0.250 0.250 0.250
2 Rh 0.992 0.992 0.992
3 Br 0.750 0.750 0.750
4 Rh 0.508 0.508 0.508

Mass density in g cm⁻³: 11.69
Energy relative to the elements, uncorrected in eV per formula unit: 1.013
E above lowest polymorph in kJ per mole of atoms: 10.0
SG: R-3m (166)
Final energy in eV/f.u.: -28.3